Compound: IrPd2O4
Source: OQMD via LeMat-Bulk
Functional: GGA-PBE
Structure: relaxed

Summary:
The spin magnetization comes out at 0.0 μB per formula unit. The electronic total energy is -5.708 eV per atom.

a b c (Å): 6.225 6.225 6.225
angles (deg): 60.00 60.00 60.00
Positions (direct):
Ir 0.125 0.125 0.125
Ir 0.875 0.875 0.875
Pd 0.000 0.500 0.500
Pd 0.500 0.000 0.500
Pd 0.500 0.500 0.000
Pd 0.500 0.500 0.500
O 0.252 0.252 0.252
O 0.252 0.252 0.743
O 0.252 0.743 0.252
O 0.257 0.748 0.748
O 0.743 0.252 0.252
O 0.748 0.257 0.748
O 0.748 0.748 0.257
O 0.748 0.748 0.748

***

Compound: KPIr
Source: OQMD via LeMat-Bulk
Functional: GGA-PBE
Structure: relaxed

Summary:
The spin magnetization comes out at 0.0 μB per formula unit. The electronic total energy is -5.663 eV per atom.

a b c (Å): 6.550 7.587 7.601
angles (deg): 90.00 125.35 90.00
Positions (direct):
K 0.112 0.011 0.305
K 0.112 0.489 0.805
K 0.888 0.511 0.195
K 0.888 0.989 0.695
P 0.488 0.666 0.328
P 0.488 0.834 0.828
P 0.512 0.166 0.172
P 0.512 0.334 0.672
Ir 0.494 0.630 0.626
Ir 0.494 0.870 0.126
Ir 0.506 0.130 0.874
Ir 0.506 0.370 0.374

***

Compound: LuNi2B2
Source: OQMD via LeMat-Bulk
Functional: GGA-PBE
Structure: relaxed

Summary:
The spin magnetization comes out at 0.0 μB per formula unit. The electronic total energy is -6.374 eV per atom.

a b c (Å): 4.897 4.897 6.880
angles (deg): 120.66 120.66 63.31
Positions (direct):
Lu 0.117 0.883 0.750
Lu 0.883 0.117 0.250
Ni 0.276 0.466 0.300
Ni 0.466 0.276 0.800
Ni 0.534 0.724 0.200
Ni 0.724 0.534 0.700
B 0.156 0.505 0.978
B 0.495 0.844 0.522
B 0.505 0.156 0.478
B 0.844 0.495 0.022

***

Compound: TbAsAuO
Source: OQMD via LeMat-Bulk
Functional: GGA-PBE
Structure: relaxed

Summary:
The spin magnetization comes out at 0.0 μB per formula unit. The electronic total energy is -5.785 eV per atom. The calculation puts the polymorph energy (0 for the lowest one) at 199 meV/atom.

a b c (Å): 5.651 4.289 6.095
angles (deg): 90.00 90.00 90.00
Positions (direct):
Tb 0.000 0.217 0.000
Tb 0.000 0.783 0.500
As 0.500 0.008 0.646
As 0.500 0.992 0.146
Au 0.500 0.496 0.398
Au 0.500 0.504 0.898
O 0.000 0.305 0.350
O 0.000 0.695 0.850

***

Which value of spin magnetization does entry 1 give?
0.0 μB per formula unit

***

Which of these has the highest electronic total energy?
KPIr

***

Copy entry 1 word for word.
Compound: IrPd2O4
Source: OQMD via LeMat-Bulk
Functional: GGA-PBE
Structure: relaxed

Summary:
The spin magnetization comes out at 0.0 μB per formula unit. The electronic total energy is -5.708 eV per atom.

a b c (Å): 6.225 6.225 6.225
angles (deg): 60.00 60.00 60.00
Positions (direct):
Ir 0.125 0.125 0.125
Ir 0.875 0.875 0.875
Pd 0.000 0.500 0.500
Pd 0.500 0.000 0.500
Pd 0.500 0.500 0.000
Pd 0.500 0.500 0.500
O 0.252 0.252 0.252
O 0.252 0.252 0.743
O 0.252 0.743 0.252
O 0.257 0.748 0.748
O 0.743 0.252 0.252
O 0.748 0.257 0.748
O 0.748 0.748 0.257
O 0.748 0.748 0.748